Entry 1:
A plane-wave DFT calculation with GGA-PBE was carried out for crystalline ReHg2Pt at its relaxed geometry.

The energy above the most stable polymorph in this dataset is 482 meV/atom.

The structure belongs to space group Fm-3m (No. 225); the cell edges are 6.6219, 6.6219 and 6.6219 Å and the angles 90.00°, 90.00° and 90.00°. The inequivalent atoms are Re at (0.0000, 0.0000, 0.0000), Hg at (0.2500, 0.2500, 0.2500) and Pt at (0.0000, 0.0000, 0.5000).

***

Entry 2:
A plane-wave DFT calculation with GGA-PBE was carried out for crystalline ReHg2Pt at its relaxed geometry.

The energy above the most stable polymorph in this dataset is 391 meV/atom.

The structure belongs to space group P4/mmm (No. 123); the cell edges are 4.9847, 4.9847 and 2.8979 Å and the angles 90.00°, 90.00° and 90.00°. The inequivalent atoms are Re at (0.0000, 0.0000, 0.0000), Hg at (0.0000, 0.5000, 0.5000) and Pt at (0.5000, 0.5000, 0.0000).

***

Entry 3:
A plane-wave DFT calculation with GGA-PBE was carried out for crystalline ReHgPt2 at its relaxed geometry.

The total energy comes out at -5.7813 eV per atom.

The structure belongs to space group Immm (No. 71); the cell edges are 2.7746, 4.9919 and 9.9072 Å and the angles 90.00°, 90.00° and 90.00°. The inequivalent atoms are Re at (0.0000, 0.0000, 0.0000), Hg at (0.0000, 0.0000, 0.5000) and Pt at (0.0000, 0.5000, 0.2681).

***

Entry 4:
A plane-wave DFT calculation with GGA-PBE was carried out for crystalline ReHgPt3 at its relaxed geometry.

The energy above the most stable polymorph in this dataset is 0 meV/atom.

The structure belongs to space group Pm-3m (No. 221); the cell edges are 4.8636, 4.8636 and 4.8636 Å and the angles 90.00°, 90.00° and 90.00°. The inequivalent atoms are Re at (0.0000, 0.0000, 0.0000), Hg at (0.5000, 0.5000, 0.5000) and Pt at (0.0000, 0.0000, 0.5000).

***

Entry 5:
A plane-wave DFT calculation with GGA-PBE was carried out for crystalline Re2HgPt at its relaxed geometry.

The total energy comes out at -7.2399 eV per atom.

The structure belongs to space group P4/mmm (No. 123); the cell edges are 2.7681, 2.7681 and 8.5292 Å and the angles 90.00°, 90.00° and 90.00°. The inequivalent atoms are Re at (0.0000, 0.0000, 0.2326), Hg at (0.5000, 0.5000, 0.5000) and Pt at (0.5000, 0.5000, 0.0000).

***

Entry 6:
A plane-wave DFT calculation with GGA-PBE was carried out for crystalline ReHgPt2 at its relaxed geometry.

The total energy comes out at -5.6953 eV per atom.

The structure belongs to space group Pmmm (No. 47); the cell edges are 2.7706, 4.9118 and 4.9662 Å and the angles 90.00°, 90.00° and 90.00°. The inequivalent atoms are Re at (0.0000, 0.0000, 0.0000), Hg at (0.5000, 0.0000, 0.5000), Pt at (0.0000, 0.5000, 0.5000) and Pt at (0.5000, 0.5000, 0.0000).

***

Entry 7:
A plane-wave DFT calculation with GGA-PBE was carried out for crystalline ReHgPt2 at its relaxed geometry.

The total energy comes out at -5.9598 eV per atom.

The structure belongs to space group Imm2 (No. 44); the cell edges are 2.7581, 4.2120 and 12.9373 Å and the angles 90.00°, 90.00° and 90.00°. The inequivalent atoms are Re at (0.0000, 0.0000, 0.0000), Hg at (0.0000, 0.5000, 0.7223), Pt at (0.0000, 0.0000, 0.5664) and Pt at (0.0000, 0.5000, 0.3322).

***

Entry 8:
A plane-wave DFT calculation with GGA-PBE was carried out for crystalline ReHg2Pt at its relaxed geometry.

The energy above the most stable polymorph in this dataset is 549 meV/atom.

The structure belongs to space group I-42d (No. 122); the cell edges are 3.9658, 3.9658 and 20.2392 Å and the angles 90.00°, 90.00° and 90.00°. The inequivalent atoms are Re at (0.0000, 0.0000, 0.0000), Hg at (0.2483, 0.2500, 0.1250) and Pt at (0.0000, 0.0000, 0.5000).

***

Entry 9:
A plane-wave DFT calculation with GGA-PBE was carried out for crystalline Re2HgPt at its relaxed geometry.

The total energy comes out at -7.1759 eV per atom.

The structure belongs to space group P2/m (No. 10); the cell edges are 2.8292, 4.9990 and 4.7528 Å and the angles 90.00°, 90.14° and 90.00°. The inequivalent atoms are Re at (0.1874, 0.0000, 0.2486), Hg at (0.5000, 0.5000, 0.0000) and Pt at (0.0000, 0.5000, 0.5000).

***

Entry 10:
A plane-wave DFT calculation with GGA-PBE was carried out for crystalline ReHgRu2Pt at its relaxed geometry.

The total energy comes out at -6.0939 eV per atom.

The structure belongs to space group P4/mmm (No. 123); the cell edges are 4.6831, 4.6831 and 4.8668 Å and the angles 90.00°, 90.00° and 90.00°. The inequivalent atoms are Re at (0.0000, 0.0000, 0.0000), Hg at (0.5000, 0.5000, 0.5000), Ru at (0.0000, 0.5000, 0.0000) and Pt at (0.0000, 0.0000, 0.5000).

***

Entry 11:
A plane-wave DFT calculation with GGA-PBE was carried out for crystalline ReHgTe2Pt at its relaxed geometry.

Its formation energy without anion corrections is 1267 meV per atom.

The structure belongs to space group P4/mmm (No. 123); the cell edges are 5.3432, 5.3432 and 5.1009 Å and the angles 90.00°, 90.00° and 90.00°. The inequivalent atoms are Re at (0.0000, 0.0000, 0.0000), Hg at (0.5000, 0.5000, 0.0000), Te at (0.0000, 0.5000, 0.5000) and Pt at (0.5000, 0.5000, 0.5000).

***

Entry 12:
A plane-wave DFT calculation with GGA-PBE was carried out for crystalline HgPtRh2 at its relaxed geometry.

The total energy comes out at -5.0939 eV per atom.

The structure belongs to space group P4/mmm (No. 123); the cell edges are 3.2964, 3.2964 and 6.0137 Å and the angles 90.00°, 90.00° and 90.00°. The inequivalent atoms are Hg at (0.0000, 0.0000, 0.0000), Pt at (0.0000, 0.0000, 0.5000) and Rh at (0.5000, 0.5000, 0.2738).

***

Entry 13:
A plane-wave DFT calculation with GGA-PBE was carried out for crystalline HgPtRh2 at its relaxed geometry.

The total energy comes out at -5.0099 eV per atom.

The structure belongs to space group Pmmm (No. 47); the cell edges are 2.8450, 4.7713 and 4.8092 Å and the angles 90.00°, 90.00° and 90.00°. The inequivalent atoms are Hg at (0.0000, 0.0000, 0.0000), Pt at (0.5000, 0.0000, 0.5000), Rh at (0.0000, 0.5000, 0.5000) and Rh at (0.5000, 0.5000, 0.0000).

***

Entry 14:
A plane-wave DFT calculation with GGA-PBE was carried out for crystalline HgPtRh2 at its relaxed geometry.

The total energy comes out at -5.1037 eV per atom.

The structure belongs to space group Cmmm (No. 65); the cell edges are 5.7514, 7.8778 and 2.8344 Å and the angles 90.00°, 90.00° and 90.00°. The inequivalent atoms are Hg at (0.0000, 0.0000, 0.0000), Pt at (0.0000, 0.5000, 0.0000) and Rh at (0.2500, 0.2500, 0.5000).

***

Entry 15:
A plane-wave DFT calculation with GGA-PBE was carried out for crystalline HgPtRh2 at its relaxed geometry.

The total energy comes out at -5.0343 eV per atom.

The structure belongs to space group Immm (No. 71); the cell edges are 2.8180, 4.8418 and 9.6146 Å and the angles 90.00°, 90.00° and 90.00°. The inequivalent atoms are Hg at (0.0000, 0.0000, 0.0000), Pt at (0.0000, 0.0000, 0.5000) and Rh at (0.0000, 0.5000, 0.2385).